# 1
## AcBiRh2 (PBE)

Data for a geometry-optimized AcBiRh2 structure.

Results
SG   No. 12
Calculated formation energy   -2.006 eV per formula unit
Total magnetization   0.0 μB/f.u.
Crystal system   monoclinic

Unit cell a=4.6712 b=4.6712 c=5.7560 alpha=113.85 beta=113.85 gamma=60.09
With the nearest neighbours (Å) after each atom.
Positions (direct):
1 Ac 0.0000 0.0000 0.0000  8 Rh 3.15-3.33
2 Bi 0.5000 0.5000 0.5000  6 Rh 2.76-2.77
3 Rh 0.2059 0.2059 0.6181  3 Bi 2.76-2.77, 3 Rh 2.95-2.96
4 Rh 0.7941 0.7941 0.3819  3 Bi 2.76-2.77, 3 Rh 2.95-2.96

***

# 2
## Ac3BiRh8 (PBE)

Data for a geometry-optimized Ac3BiRh8 structure.

Results
SG   No. 160
Calculated formation energy   -5.130 eV per formula unit
Total magnetization   0.0 μB/f.u.
Crystal system   trigonal

Unit cell a=9.5481 b=9.5481 c=9.5481 alpha=33.70 beta=33.70 gamma=33.70
With the nearest neighbours (Å) after each atom.
Positions (direct):
1 Ac 0.0000 0.0000 0.0000  12 Rh 3.15-3.26, 3 Bi 3.32, 1 Ac 3.43
2 Ac 0.1270 0.1270 0.1270  12 Rh 3.25-3.27, 4 Ac 3.43-3.45
3 Ac 0.5081 0.5081 0.5081  12 Rh 3.18-3.40, 1 Bi 3.39, 3 Ac 3.45
4 Bi 0.6336 0.6336 0.6336  12 Rh 3.06-3.31, 4 Ac 3.32-3.39
5 Rh 0.0632 0.5639 0.5639  6 Rh 2.75-2.78, 1 Bi 3.06
6 Rh 0.0665 0.0665 0.5652  6 Rh 2.71-2.79
7 Rh 0.0665 0.5652 0.0665  6 Rh 2.71-2.79
8 Rh 0.3141 0.3141 0.3141  6 Rh 2.71-2.75
9 Rh 0.5639 0.0632 0.5639  6 Rh 2.75-2.78, 1 Bi 3.06
10 Rh 0.5639 0.5639 0.0632  6 Rh 2.75-2.78, 1 Bi 3.06
11 Rh 0.5652 0.0665 0.0665  6 Rh 2.71-2.79
12 Rh 0.8148 0.8148 0.8148  6 Rh 2.78-2.79

***

# 3
## AcBi3Rh2 (PBE)

Data for a geometry-optimized AcBi3Rh2 structure.

Results
SG   No. 191
Distance to the lowest polymorph of the same formula   154 meV/atom
Calculated formation energy   -1.413 eV per formula unit
Total magnetization   0.0 μB/f.u.
Crystal system   hexagonal

Unit cell a=6.5545 b=6.5545 c=4.2694 alpha=90.00 beta=90.00 gamma=120.00
With the nearest neighbours (Å) after each atom.
Positions (direct):
1 Ac 0.0000 0.0000 0.0000  6 Rh 3.78, 12 Bi 3.91
2 Bi 0.0000 0.5000 0.5000  4 Rh 2.85
3 Bi 0.5000 0.0000 0.5000  4 Rh 2.85
4 Bi 0.5000 0.5000 0.5000  4 Rh 2.85
5 Rh 0.3333 0.6667 0.0000  6 Bi 2.85
6 Rh 0.6667 0.3333 0.0000  6 Bi 2.85

***

# 4
## AcBi12Rh6 (PBE)

Data for a geometry-optimized AcBi12Rh6 structure.

Results
SG   No. 166
Calculated formation energy   -1.821 eV per formula unit
Total magnetization   0.0 μB/f.u.
Crystal system   trigonal

Unit cell a=8.4491 b=8.4491 c=8.4491 alpha=107.34 beta=107.34 gamma=107.34
With the nearest neighbours (Å) after each atom.
Positions (direct):
1 Ac 0.0000 0.0000 0.0000  6 Bi 3.76, 6 Rh 4.18
2 Bi 0.1168 0.5000 0.8832  4 Rh 2.81-2.88
3 Bi 0.1168 0.8832 0.5000  4 Rh 2.81-2.88
4 Bi 0.1556 0.4236 0.4236  2 Rh 2.80-3.02
5 Bi 0.4236 0.1556 0.4236  2 Rh 2.80-3.02
6 Bi 0.4236 0.4236 0.1556  2 Rh 2.80-3.02
7 Bi 0.5000 0.1168 0.8832  4 Rh 2.81-2.88
8 Bi 0.5000 0.8832 0.1168  4 Rh 2.81-2.88
9 Bi 0.5764 0.5764 0.8444  2 Rh 2.80-3.02
10 Bi 0.5764 0.8444 0.5764  2 Rh 2.80-3.02
11 Bi 0.8444 0.5764 0.5764  2 Rh 2.80-3.02
12 Bi 0.8832 0.1168 0.5000  4 Rh 2.81-2.88
13 Bi 0.8832 0.5000 0.1168  4 Rh 2.81-2.88
14 Rh 0.2573 0.7360 0.7360  6 Bi 2.80-3.02
15 Rh 0.2640 0.2640 0.7427  6 Bi 2.80-3.02
16 Rh 0.2640 0.7427 0.2640  6 Bi 2.80-3.02
17 Rh 0.7360 0.2573 0.7360  6 Bi 2.80-3.02
18 Rh 0.7360 0.7360 0.2573  6 Bi 2.80-3.02
19 Rh 0.7427 0.2640 0.2640  6 Bi 2.80-3.02

***

# 5
## Ac3Bi5Rh6 (PBE)

Data for a geometry-optimized Ac3Bi5Rh6 structure.

Results
SG   No. 59
Calculated formation energy   -7.266 eV per formula unit
Total magnetization   0.0 μB/f.u.
Crystal system   orthorhombic

Unit cell a=4.6125 b=14.0085 c=10.5543 alpha=90.00 beta=90.00 gamma=90.00
With the nearest neighbours (Å) after each atom.
Positions (direct):
1 Ac 0.2500 0.0679 0.2439  5 Rh 3.24-3.49, 6 Bi 3.45-3.52
2 Ac 0.2500 0.4321 0.2439  5 Rh 3.24-3.49, 6 Bi 3.45-3.52
3 Ac 0.2500 0.7500 0.2615  10 Rh 3.32-3.70, 6 Bi 3.40-3.58
4 Ac 0.7500 0.2500 0.7385  10 Rh 3.32-3.70, 6 Bi 3.40-3.58
5 Ac 0.7500 0.5679 0.7561  5 Rh 3.24-3.49, 6 Bi 3.45-3.52
6 Ac 0.7500 0.9321 0.7561  5 Rh 3.24-3.49, 6 Bi 3.45-3.52
7 Bi 0.2500 0.0800 0.6098  5 Rh 2.68-2.83
8 Bi 0.2500 0.4200 0.6098  5 Rh 2.68-2.83
9 Bi 0.2500 0.6188 0.9899  5 Rh 2.82-2.97
10 Bi 0.2500 0.7500 0.6860  4 Rh 2.68-2.83
11 Bi 0.2500 0.8812 0.9899  5 Rh 2.82-2.97
12 Bi 0.7500 0.1188 0.0101  5 Rh 2.82-2.97
13 Bi 0.7500 0.2500 0.3140  4 Rh 2.68-2.83
14 Bi 0.7500 0.3812 0.0101  5 Rh 2.82-2.97
15 Bi 0.7500 0.5800 0.3902  5 Rh 2.68-2.83
16 Bi 0.7500 0.9200 0.3902  5 Rh 2.68-2.83
17 Rh 0.2500 0.0696 0.8713  4 Bi 2.76-2.92, 1 Rh 2.77
18 Rh 0.2500 0.2500 0.4696  4 Bi 2.80-2.83, 4 Rh 3.04
19 Rh 0.2500 0.2500 0.9795  2 Rh 2.77, 4 Bi 2.97
20 Rh 0.2500 0.4304 0.8713  4 Bi 2.76-2.92, 1 Rh 2.77
21 Rh 0.2500 0.6090 0.5141  4 Bi 2.68-2.83
22 Rh 0.2500 0.8910 0.5141  4 Bi 2.68-2.83
23 Rh 0.7500 0.1090 0.4859  4 Bi 2.68-2.83
24 Rh 0.7500 0.3910 0.4859  4 Bi 2.68-2.83
25 Rh 0.7500 0.5696 0.1287  4 Bi 2.76-2.92, 1 Rh 2.77
26 Rh 0.7500 0.7500 0.0205  2 Rh 2.77, 4 Bi 2.97
27 Rh 0.7500 0.7500 0.5304  4 Bi 2.80-2.83, 4 Rh 3.04
28 Rh 0.7500 0.9304 0.1287  4 Bi 2.76-2.92, 1 Rh 2.77

***

# 6
## AcBi2Rh (PBE)

Data for a geometry-optimized AcBi2Rh structure.

Results
SG   No. 225
Distance to the lowest polymorph of the same formula   468 meV/atom
Calculated formation energy   -0.566 eV per formula unit
Total magnetization   0.0 μB/f.u.
Crystal system   cubic

Unit cell a=5.4012 b=5.4012 c=5.4012 alpha=60.00 beta=60.00 gamma=60.00
With the nearest neighbours (Å) after each atom.
Positions (direct):
1 Ac 0.0000 0.0000 0.0000  8 Bi 3.31
2 Bi 0.2500 0.2500 0.2500  4 Ac 3.31, 4 Rh 3.31
3 Bi 0.7500 0.7500 0.7500  4 Ac 3.31, 4 Rh 3.31
4 Rh 0.5000 0.5000 0.5000  8 Bi 3.31

***

# 7
## AcBi2Rh (PBE)

Data for a geometry-optimized AcBi2Rh structure.

Results
SG   No. 123
Distance to the lowest polymorph of the same formula   352 meV/atom
Calculated formation energy   -1.030 eV per formula unit
Total magnetization   0.0 μB/f.u.
Crystal system   tetragonal

Unit cell a=4.7469 b=4.7469 c=4.9659 alpha=90.00 beta=90.00 gamma=90.00
With the nearest neighbours (Å) after each atom.
Positions (direct):
1 Ac 0.0000 0.0000 0.0000  4 Rh 3.36, 8 Bi 3.43
2 Bi 0.0000 0.5000 0.5000  4 Bi 3.36, 4 Ac 3.43, 4 Rh 3.43
3 Bi 0.5000 0.0000 0.5000  4 Bi 3.36, 4 Ac 3.43, 4 Rh 3.43
4 Rh 0.5000 0.5000 0.0000  4 Ac 3.36, 8 Bi 3.43

***

# 8
## AcBiRh2 (PBE)

Data for a geometry-optimized AcBiRh2 structure.

Results
SG   No. 123
Calculated formation energy   -1.474 eV per formula unit
Total magnetization   0.0 μB/f.u.
Crystal system   tetragonal

Unit cell a=4.8905 b=4.8905 c=3.7683 alpha=90.00 beta=90.00 gamma=90.00
With the nearest neighbours (Å) after each atom.
Positions (direct):
1 Ac 0.0000 0.0000 0.0000  8 Rh 3.09
2 Bi 0.5000 0.5000 0.0000  8 Rh 3.09
3 Rh 0.0000 0.5000 0.5000  4 Bi 3.09, 4 Ac 3.09
4 Rh 0.5000 0.0000 0.5000  4 Bi 3.09, 4 Ac 3.09

***

# 9
## AcBi7Rh5 (PBE)

Data for a geometry-optimized AcBi7Rh5 structure.

Results
SG   No. 44
Calculated formation energy   -1.675 eV per formula unit
Total magnetization   0.0 μB/f.u.
Crystal system   orthorhombic

Unit cell a=7.8133 b=7.8133 c=7.8133 alpha=134.86 beta=99.84 gamma=97.11
With the nearest neighbours (Å) after each atom.
Positions (direct):
1 Ac 0.0000 0.0000 0.0000  10 Bi 3.39-3.73, 4 Rh 3.71
2 Bi 0.1370 0.4503 0.6867  3 Rh 2.75-2.80
3 Bi 0.2140 0.7140 0.5000  4 Rh 2.83
4 Bi 0.3432 0.3432 0.0000  4 Rh 3.03, 4 Bi 3.28-3.34
5 Bi 0.3682 0.0296 0.3386  3 Rh 2.78-2.85
6 Bi 0.6721 0.6721 0.0000  6 Rh 3.11-3.12, 1 Ac 3.39, 1 Bi 3.40
7 Bi 0.6910 0.0296 0.6614  3 Rh 2.78-2.85
8 Bi 0.7637 0.4503 0.3133  3 Rh 2.75-2.80
9 Rh 0.4709 0.4825 0.4859  5 Bi 2.78-3.11, 3 Rh 2.98-3.05
10 Rh 0.4709 0.9850 0.9883  5 Bi 2.78-3.11, 3 Rh 2.98-3.05
11 Rh 0.7561 0.2561 0.5000  4 Bi 2.75-2.85, 4 Rh 3.05
12 Rh 0.9966 0.4825 0.0117  5 Bi 2.78-3.11, 3 Rh 2.98-3.05
13 Rh 0.9966 0.9850 0.5141  5 Bi 2.78-3.11, 3 Rh 2.98-3.05

***

# 10
## Ac6BiRh3 (PBE)

Data for a geometry-optimized Ac6BiRh3 structure.

Results
SG   No. 11
Calculated formation energy   -6.561 eV per formula unit
Total magnetization   0.0 μB/f.u.
Crystal system   monoclinic

Unit cell a=12.6431 b=4.4478 c=12.9372 alpha=90.00 beta=107.58 gamma=90.00
With the nearest neighbours (Å) after each atom.
Positions (direct):
1 Ac 0.0227 0.2500 0.3875  4 Rh 2.99-3.33
2 Ac 0.1103 0.2500 0.9476  4 Rh 3.01-3.14
3 Ac 0.2066 0.7500 0.2594  3 Rh 3.04-3.14
4 Ac 0.2908 0.7500 0.7672  2 Rh 2.91
5 Ac 0.3508 0.2500 0.5344  2 Rh 3.07
6 Ac 0.4223 0.7500 0.0881  3 Rh 2.98-3.06
7 Ac 0.5777 0.2500 0.9119  3 Rh 2.98-3.06
8 Ac 0.6492 0.7500 0.4656  2 Rh 3.07
9 Ac 0.7092 0.2500 0.2328  2 Rh 2.91
10 Ac 0.7934 0.2500 0.7406  3 Rh 3.04-3.14
11 Ac 0.8897 0.7500 0.0524  4 Rh 3.01-3.14
12 Ac 0.9773 0.7500 0.6125  4 Rh 2.99-3.33
13 Bi 0.4476 0.2500 0.3113  8 Ac 3.46-3.74
14 Bi 0.5524 0.7500 0.6887  8 Ac 3.46-3.74
15 Rh 0.0431 0.2500 0.1626  6 Ac 3.00-3.14
16 Rh 0.1753 0.7500 0.4916  6 Ac 2.99-3.33
17 Rh 0.3448 0.2500 0.9193  6 Ac 2.91-3.10
18 Rh 0.6552 0.7500 0.0807  6 Ac 2.91-3.10
19 Rh 0.8247 0.2500 0.5084  6 Ac 2.99-3.33
20 Rh 0.9569 0.7500 0.8374  6 Ac 3.00-3.14

***

# 11
## AcBi4Rh4 (PBE)

Data for a geometry-optimized AcBi4Rh4 structure.

Results
SG   No. 86
Calculated formation energy   -2.138 eV per formula unit
Total magnetization   0.0 μB/f.u.
Crystal system   tetragonal

Unit cell a=9.1050 b=9.1050 c=5.4869 alpha=90.00 beta=90.00 gamma=90.00
With the nearest neighbours (Å) after each atom.
Positions (direct):
1 Ac 0.2500 0.2500 0.2500  4 Rh 2.99
2 Ac 0.7500 0.7500 0.7500  4 Rh 2.99
3 Bi 0.0939 0.6382 0.1636  5 Rh 2.78-2.90
4 Bi 0.1382 0.9061 0.6636  5 Rh 2.78-2.90
5 Bi 0.3618 0.5939 0.6636  5 Rh 2.78-2.90
6 Bi 0.4061 0.8618 0.1636  5 Rh 2.78-2.90
7 Bi 0.5939 0.1382 0.8364  5 Rh 2.78-2.90
8 Bi 0.6382 0.4061 0.3364  5 Rh 2.78-2.90
9 Bi 0.8618 0.0939 0.3364  5 Rh 2.78-2.90
10 Bi 0.9061 0.3618 0.8364  5 Rh 2.78-2.90
11 Rh 0.0439 0.6141 0.6615  5 Bi 2.78-2.90, 1 Rh 2.84, 1 Ac 2.99
12 Rh 0.1141 0.9561 0.1615  5 Bi 2.78-2.90, 1 Rh 2.84, 1 Ac 2.99
13 Rh 0.3859 0.5439 0.1615  5 Bi 2.78-2.90, 1 Rh 2.84, 1 Ac 2.99
14 Rh 0.4561 0.8859 0.6615  5 Bi 2.78-2.90, 1 Rh 2.84, 1 Ac 2.99
15 Rh 0.5439 0.1141 0.3385  5 Bi 2.78-2.90, 1 Rh 2.84, 1 Ac 2.99
16 Rh 0.6141 0.4561 0.8385  5 Bi 2.78-2.90, 1 Rh 2.84, 1 Ac 2.99
17 Rh 0.8859 0.0439 0.8385  5 Bi 2.78-2.90, 1 Rh 2.84, 1 Ac 2.99
18 Rh 0.9561 0.3859 0.3385  5 Bi 2.78-2.90, 1 Rh 2.84, 1 Ac 2.99